Record 1
A geometry-optimized ZnCd2Au structure. Source: the Alexandria database, functional PBE.

Unit cell a=3.114 b=3.114 c=9.717 alpha=90.00 beta=90.00 gamma=122.96
Fractional positions:
Zn1 0.000 0.000 0.000
Cd1 0.500 0.500 0.246
Cd2 0.500 0.500 0.754
Au1 0.000 0.000 0.500

calculated formation energy = 0.0308 eV per atom
energy = -6.3 eV for the cell shown
crystal system = orthorhombic
calculated density = 10.235 Mg/m³

=====

Record 2
A geometry-optimized ZnCd2Au8 structure. Source: the Alexandria database, functional PBE.

Unit cell a=7.640 b=7.640 c=5.526 alpha=110.93 beta=110.93 gamma=116.36
Fractional positions:
Zn1 0.000 0.000 0.000
Cd1 0.304 0.696 0.500
Cd2 0.696 0.304 0.500
Au1 0.100 0.318 0.831
Au2 0.219 0.781 0.000
Au3 0.318 0.100 0.831
Au4 0.387 0.387 0.612
Au5 0.613 0.613 0.388
Au6 0.682 0.900 0.169
Au7 0.781 0.219 0.000
Au8 0.900 0.682 0.169

calculated formation energy = -0.0695 eV per atom
energy = -30.1 eV for the cell shown
crystal system = monoclinic
ΔE to the lowest computed polymorph = 42 meV per atom
calculated density = 14.577 Mg/m³

=====

Record 3
A geometry-optimized ZnCdAu structure. Source: the Alexandria database, functional PBE.

Unit cell a=4.009 b=4.009 c=7.279 alpha=90.00 beta=90.00 gamma=90.00
Fractional positions:
Zn1 0.250 0.750 0.000
Zn2 0.750 0.250 0.000
Cd1 0.250 0.250 0.367
Cd2 0.750 0.750 0.633
Au1 0.250 0.250 0.757
Au2 0.750 0.750 0.243

calculated formation energy = -0.1538 eV per atom
energy = -11.9 eV for the cell shown
crystal system = tetragonal
ΔE to the lowest computed polymorph = 2 meV per atom
calculated density = 10.642 Mg/m³

=====

Record 4
A geometry-optimized Zn2Cd3Au4 structure. Source: the Alexandria database, functional PBE.

Unit cell a=4.723 b=4.723 c=8.927 alpha=97.21 beta=97.21 gamma=59.77
Fractional positions:
Zn1 0.225 0.225 0.408
Zn2 0.775 0.775 0.592
Cd1 0.127 0.127 0.766
Cd2 0.500 0.500 0.000
Cd3 0.873 0.873 0.234
Au1 0.188 0.188 0.107
Au2 0.444 0.444 0.652
Au3 0.556 0.556 0.348
Au4 0.812 0.812 0.893

calculated formation energy = -0.1609 eV per atom
energy = -19.9 eV for the cell shown
crystal system = monoclinic
ΔE to the lowest computed polymorph = 0 meV per atom
calculated density = 12.249 Mg/m³

=====

Record 5
A geometry-optimized Zn3Cd2Au4 structure. Source: the Alexandria database, functional PBE.

Unit cell a=7.590 b=7.590 c=8.613 alpha=90.00 beta=90.00 gamma=137.86
Fractional positions:
Zn1 0.000 0.000 0.000
Zn2 0.000 0.500 0.250
Zn3 0.000 0.500 0.750
Zn4 0.500 0.000 0.250
Zn5 0.500 0.000 0.750
Zn6 0.500 0.500 0.500
Cd1 0.102 0.898 0.566
Cd2 0.398 0.602 0.066
Cd3 0.602 0.398 0.934
Cd4 0.898 0.102 0.434
Au1 0.189 0.811 0.996
Au2 0.197 0.303 0.750
Au3 0.303 0.197 0.250
Au4 0.311 0.689 0.496
Au5 0.689 0.311 0.504
Au6 0.697 0.803 0.750
Au7 0.803 0.697 0.250
Au8 0.811 0.189 0.004

calculated formation energy = -0.1609 eV per atom
energy = -40.4 eV for the cell shown
crystal system = orthorhombic
ΔE to the lowest computed polymorph = 0 meV per atom
calculated density = 12.062 Mg/m³

=====

Record 6
A geometry-optimized Zn3CdAu structure. Source: the Alexandria database, functional PBE.

Unit cell a=4.973 b=4.973 c=4.973 alpha=90.00 beta=90.00 gamma=90.00
Fractional positions:
Zn1 0.000 0.000 0.500
Zn2 0.000 0.500 0.000
Zn3 0.500 0.000 0.000
Cd1 0.500 0.500 0.500
Au1 0.000 0.000 0.000

calculated formation energy = 0.1570 eV per atom
energy = -7.2 eV for the cell shown
crystal system = cubic
ΔE to the lowest computed polymorph = 225 meV per atom
calculated density = 6.827 Mg/m³